1.
The following is a PBE calculation of TlCrIBr2 after structural relaxation, from the Alexandria database.

As for the crystal system: tetragonal. As for the energy: -3.967 eV/atom. For the size of the total moment, the calculation gives 0.800 μB/atom. As for the formation energy from raw total energies: -0.59 eV/atom.

The space group is P4/mmm (No. 123) and the conventional cell measures 5.238, 5.238 and 5.738 Å, with angles of 90.00, 90.00 and 90.00 degrees. The inequivalent atoms are Tl at (0.000, 0.000, 0.000), Cr at (0.500, 0.500, 0.500), I at (0.500, 0.500, 0.000) and Br at (0.000, 0.500, 0.500).

2.
The following is a PBE calculation of CrIn4Br7 after structural relaxation, from the Alexandria database.

As for the crystal system: monoclinic. As for the energy: -3.355 eV/atom. For the size of the total moment, the calculation gives 0.258 μB/atom. As for the formation energy from raw total energies: -0.66 eV/atom.

The space group is C2/m (No. 12) and the conventional cell measures 21.208, 5.182 and 7.510 Å, with angles of 90.00, 107.36 and 90.00 degrees. The inequivalent atoms are Cr at (0.000, 0.000, 0.000), In at (0.076, 0.500, 0.633), In at (0.182, 0.500, 0.240), Br at (0.000, 0.500, 0.000), Br at (0.077, 0.000, 0.332), Br at (0.101, 0.000, 0.886) and Br at (0.219, 0.500, 0.681).